VASP calculation (PBE) on a relaxed structure of TlGaAs2O6.

The calculation puts the total energy at -226.0 eV per cell. As for the magnetic moment: 0.00 μB/f.u. The value obtained for the formation energy (no corrections) is -1.206 eV/atom.

The structure belongs to space group C2/c (No. 15); the cell edges are 11.535, 10.091 and 7.169 Å and the angles 90.00°, 127.20° and 90.00°. The asymmetric unit holds Tl at (0.000, 0.181, 0.250), Ga at (0.000, 0.194, 0.750), As at (0.193, 0.446, 0.089), O at (0.116, 0.084, 0.715), O at (0.119, 0.283, 0.032) and O at (0.158, 0.499, 0.805).



VASP calculation (PBE) on a relaxed structure of GaTcP2S.

The offset from the most stable computed form comes out at 4.16 eV per formula unit. The calculation puts the total energy at -22.3 eV per cell. As for the magnetic moment: 2.67 μB/f.u. The value obtained for the formation energy (no corrections) is 1.209 eV/atom.

The structure belongs to space group P4/mmm (No. 123); the cell edges are 4.623, 4.623 and 4.678 Å and the angles 90.00°, 90.00° and 90.00°. The asymmetric unit holds Ga at (0.000, 0.000, 0.000), Tc at (0.500, 0.500, 0.500), P at (0.000, 0.500, 0.000) and S at (0.000, 0.000, 0.500).



VASP calculation (PBE) on a relaxed structure of AlCu3Ir.

The offset from the most stable computed form comes out at 0.00 eV per formula unit. The calculation puts the total energy at -19.7 eV per cell. Its formation energy is 1.046 eV/atom. As for the magnetic moment: 0.00 μB/f.u.

The structure belongs to space group Pm-3m (No. 221); the cell edges are 4.653, 4.653 and 4.653 Å and the angles 90.00°, 90.00° and 90.00°. The asymmetric unit holds Al at (0.000, 0.000, 0.000), Cu at (0.000, 0.500, 0.500) and Ir at (0.500, 0.500, 0.500).



VASP calculation (PBE) on a relaxed structure of Ac8PPb4Se3.

The calculation puts the total energy at -162.9 eV per cell. As for the magnetic moment: 0.00 μB/f.u. The value obtained for the formation energy (no corrections) is -1.117 eV/atom.

The structure belongs to space group C2/m (No. 12); the cell edges are 16.120, 9.295 and 9.420 Å and the angles 90.00°, 124.81° and 90.00°. The asymmetric unit holds Ac at (0.004, 0.244, 0.268), Ac at (0.240, 0.000, 0.732), Ac at (0.247, 0.500, 0.741), P at (0.000, 0.000, 0.500), Pb at (0.000, 0.000, 0.000), Pb at (0.000, 0.500, 0.000), Pb at (0.250, 0.250, 0.000), Se at (0.000, 0.500, 0.500) and Se at (0.250, 0.250, 0.500).



VASP calculation (PBE) on a relaxed structure of Ca2RuCl.

The offset from the most stable computed form comes out at 2.29 eV per formula unit. The calculation puts the total energy at -15.4 eV per cell. As for the magnetic moment: 1.65 μB/f.u. The value obtained for the formation energy (no corrections) is -0.070 eV/atom.

The structure belongs to space group P4mm (No. 99); the cell edges are 3.320, 3.320 and 10.271 Å and the angles 90.00°, 90.00° and 90.00°. The asymmetric unit holds Ca at (0.000, 0.000, 0.000), Ca at (0.500, 0.500, 0.334), Ru at (0.500, 0.500, 0.817) and Cl at (0.000, 0.000, 0.477).



VASP calculation (PBE) on a relaxed structure of BeP2Cl.

The offset from the most stable computed form comes out at 2.71 eV per formula unit. The calculation puts the total energy at -30.4 eV per cell. As for the magnetic moment: 0.00 μB/f.u. The value obtained for the formation energy (no corrections) is 0.293 eV/atom.

The structure belongs to space group C2/m (No. 12); the cell edges are 13.465, 3.099 and 3.385 Å and the angles 90.00°, 102.37° and 90.00°. The asymmetric unit holds Be at (0.000, 0.000, 0.000), P at (0.217, 0.500, 0.160) and Cl at (0.000, 0.500, 0.500).



VASP calculation (PBE) on a relaxed structure of Na4Y3GaS8.

The calculation puts the total energy at -256.7 eV per cell. As for the magnetic moment: 0.00 μB/f.u. The value obtained for the formation energy (no corrections) is -1.554 eV/atom.

The structure belongs to space group R-3m (No. 166, hexagonal axes); the cell edges are 7.8252, 7.8252 and 20.0801 Å and the angles 90.00°, 90.00° and 120.00°. The asymmetric unit holds Na at (0.0000, 0.0000, 0.0000), Na at (0.0000, 0.5000, 0.0000), Y at (0.0000, 0.5000, 0.5000), Ga at (0.0000, 0.0000, 0.5000), S at (0.0000, 0.0000, 0.2428) and S at (0.0188, 0.5094, 0.2400).



VASP calculation (PBE) on a relaxed structure of Ac2La4Er5.

The calculation puts the total energy at -100.5 eV per cell. Its formation energy is 0.043 eV/atom. As for the magnetic moment: 0.00 μB/f.u.

The structure belongs to space group C2/m (No. 12); the cell edges are 24.393, 3.762 and 9.104 Å and the angles 90.00°, 110.93° and 90.00°. The asymmetric unit holds Ac at (0.110, 0.000, 0.449), La at (0.041, 0.500, 0.716), La at (0.184, 0.000, 0.889), Er at (0.000, 0.000, 0.000), Er at (0.125, 0.500, 0.122) and Er at (0.247, 0.000, 0.336).



VASP calculation (PBE) on a relaxed structure of HfAgOsW2.

The calculation puts the total energy at -42.0 eV per cell. Its formation energy is 1.594 eV/atom. As for the magnetic moment: 0.00 μB/f.u.

The structure belongs to space group P4/mmm (No. 123); the cell edges are 4.718, 4.718 and 4.946 Å and the angles 90.00°, 90.00° and 90.00°. The asymmetric unit holds Hf at (0.000, 0.000, 0.000), Ag at (0.500, 0.500, 0.000), Os at (0.500, 0.500, 0.500) and W at (0.000, 0.500, 0.500).



VASP calculation (PBE) on a relaxed structure of AgC3.

The offset from the most stable computed form comes out at 2.87 eV per formula unit. The calculation puts the total energy at -23.8 eV per cell. Its formation energy is 1.677 eV/atom. As for the magnetic moment: 0.00 μB/f.u.

The structure belongs to space group P2/m (No. 10); the cell edges are 3.352, 2.505 and 5.329 Å and the angles 90.00°, 108.28° and 90.00°. The asymmetric unit holds Ag at (0.000, 0.000, 0.000), C at (0.000, 0.000, 0.500) and C at (0.278, 0.500, 0.456).



VASP calculation (PBE) on a relaxed structure of AcNd2Tm2.

The offset from the most stable computed form comes out at 2.14 eV per formula unit. The calculation puts the total energy at -158.3 eV per cell. Its formation energy is 0.559 eV/atom. As for the magnetic moment: 0.00 μB/f.u.

The structure belongs to space group Fddd (No. 70, origin choice 2); the cell edges are 5.798, 11.879 and 23.511 Å and the angles 90.00°, 90.00° and 90.00°. The asymmetric unit holds Ac at (0.125, 0.125, 0.125), Nd at (0.125, 0.303, 0.625) and Tm at (0.000, 0.000, 0.000).



VASP calculation (PBE) on a relaxed structure of PrAl2Sb.

The calculation puts the total energy at -17.9 eV per cell. As for the magnetic moment: 0.00 μB/f.u. The value obtained for the formation energy (no corrections) is -0.386 eV/atom.

The structure belongs to space group P4/mmm (No. 123); the cell edges are 4.609, 4.609 and 4.460 Å and the angles 90.00°, 90.00° and 90.00°. The asymmetric unit holds Pr at (0.000, 0.000, 0.000), Al at (0.000, 0.500, 0.500) and Sb at (0.500, 0.500, 0.000).